## BiBO2 (PBE-GGA)

Data for a geometry-optimized BiBO2 structure.

a = 3.3009 Å, b = 3.3009 Å, c = 20.1618 Å
α = 90.00°, β = 90.00°, γ = 120.00°
Last column: nearest neighbours and their distance in Å.
Element x y z (fractional)
Bi 0.0000 0.0000 0.0000  6 O 2.83
Bi 0.3333 0.6667 0.6667  6 O 2.83
Bi 0.6667 0.3333 0.3333  6 O 2.83
B 0.0000 0.0000 0.5000  2 O 1.27
B 0.3333 0.6667 0.1667  2 O 1.27
B 0.6667 0.3333 0.8333  2 O 1.27
O 0.0000 0.0000 0.4371  1 B 1.27
O 0.0000 0.0000 0.5629  1 B 1.27
O 0.3333 0.6667 0.1038  1 B 1.27
O 0.3333 0.6667 0.2296  1 B 1.27
O 0.6667 0.3333 0.7704  1 B 1.27
O 0.6667 0.3333 0.8962  1 B 1.27

Summary:
* volume: 63.4 Å³/f.u.
* E_form (uncorrected): -1.270 eV per atom
* E above lowest polymorph: 0.000 eV/atom
* total magnetic moment: 0.00 Bohr magnetons per cell